Here is MnBiSN2 after structural relaxation from the Alexandria database. Energies are from PBE.

Properties
As for the formation energy without anion corrections: 1.537 eV/atom. As for the space group: P4/mmm, No. 123. The calculation puts the total magnetization at 6.4 μB per formula unit.

Cell and atoms, written as extended XYZ:
```
5
Lattice="4.223 0.000 0.000 0.000 4.223 0.000 0.000 0.000 5.577" Properties=species:S:1:pos:R:3 pbc="T T T"
Mn 0.000 0.000 0.000
Bi 2.112 2.112 2.789
S 2.112 2.112 0.000
N 0.000 2.112 2.789
N 2.112 0.000 2.789
```